The following is a DFT calculation (PBE) of a geometry-optimized Na2UCl6 structure.

## Properties
D(E_F), states/eV per atom: 0.6313
VASP energy, eV per cell: -122.7
Magnetization, μB/f.u.: 0.700
Calculated volume, Å³/atom: 29.340
Energy relative to the elements, uncorrected, eV/f.u.: -15.9

a = 12.0812 Å, b = 12.0812 Å, c = 6.2673 Å
α = 90.00°, β = 90.00°, γ = 120.00°
Space group P-3m1 (No. 164)
Symmetry-distinct sites (fractional):
Na: 0.0000 0.3402 0.0000 [6 per cell]
U: 0.0000 0.0000 0.0000 [1 per cell]
U: 0.3333 0.6667 0.4994 [2 per cell]
Cl: 0.1053 0.2106 0.2292 [6 per cell]
Cl: 0.1262 0.5631 0.2556 [6 per cell]
Cl: 0.2298 0.4596 0.7397 [6 per cell]

***

The following is a DFT calculation (PBE) of a geometry-optimized Na5U2Cl12 structure.

## Properties
D(E_F), states/eV per atom: 0.7976
VASP energy, eV per cell: -84.7
Magnetization, μB/f.u.: 5.000
Calculated volume, Å³/atom: 25.967
Energy relative to the elements, uncorrected, eV/f.u.: -33.4

a = 7.0114 Å, b = 7.9262 Å, c = 9.9286 Å
α = 68.86°, β = 85.32°, γ = 73.52°
Space group P-1 (No. 2)
Symmetry-distinct sites (fractional):
Na: 0.0000 0.0000 0.0000 [1 per cell]
Na: 0.0142 0.7287 0.5239 [2 per cell]
Na: 0.4975 0.5334 0.1972 [2 per cell]
U: 0.4879 0.0060 0.2484 [2 per cell]
Cl: 0.2088 0.8187 0.2589 [2 per cell]
Cl: 0.2157 0.3272 0.2347 [2 per cell]
Cl: 0.2864 0.3574 0.5959 [2 per cell]
Cl: 0.2955 0.7494 0.9061 [2 per cell]
Cl: 0.3021 0.9208 0.5466 [2 per cell]
Cl: 0.3072 0.1767 0.9495 [2 per cell]

***

The following is a DFT calculation (PBE) of a geometry-optimized NaUCl4 structure.

## Properties
D(E_F), states/eV per atom: 0.3684
VASP energy, eV per cell: -120.6
Magnetization, μB/f.u.: 3.000
Calculated volume, Å³/atom: 29.662
Energy relative to the elements, uncorrected, eV/f.u.: -10.1

a = 9.5272 Å, b = 14.9400 Å, c = 6.7898 Å
α = 90.00°, β = 132.56°, γ = 90.00°
Space group C2/c (No. 15)
Symmetry-distinct sites (fractional):
Na: 0.0000 0.1741 0.2500 [4 per cell]
U: 0.0000 0.4129 0.7500 [4 per cell]
Cl: 0.1858 0.2947 0.6943 [8 per cell]
Cl: 0.2348 0.4564 0.2896 [8 per cell]

***

The following is a DFT calculation (PBE) of a geometry-optimized Na3UCl7 structure.

## Properties
D(E_F), states/eV per atom: 0.4279
VASP energy, eV per cell: -94.7
Magnetization, μB/f.u.: 2.000
Calculated volume, Å³/atom: 28.041
Energy relative to the elements, uncorrected, eV/f.u.: -19.2

a = 9.1540 Å, b = 10.4642 Å, c = 7.4031 Å
α = 90.00°, β = 119.55°, γ = 90.00°
Space group Cm (No. 8)
Symmetry-distinct sites (fractional):
Na: 0.0000 0.0000 0.0000 [2 per cell]
Na: 0.4430 0.2365 0.3742 [4 per cell]
U: 0.0118 0.5000 0.9192 [2 per cell]
Cl: 0.0837 0.2601 0.1019 [4 per cell]
Cl: 0.1646 0.5000 0.6943 [2 per cell]
Cl: 0.2960 0.1605 0.6287 [4 per cell]
Cl: 0.3402 0.0000 0.1245 [2 per cell]
Cl: 0.3478 0.5000 0.2421 [2 per cell]

***

The following is a DFT calculation (PBE) of a geometry-optimized NaVCl2 structure.

## Properties
D(E_F), states/eV per atom: 0.2907
VASP energy, eV per cell: -51.9
Magnetization, μB/f.u.: 2.984
Calculated volume, Å³/atom: 27.937
Energy relative to the elements, uncorrected, eV/f.u.: -3.2

a = 3.6713 Å, b = 3.6713 Å, c = 28.7205 Å
α = 90.00°, β = 90.00°, γ = 120.00°
Space group R-3m (No. 166, hexagonal axes)
Symmetry-distinct sites (fractional):
Na: 0.0000 0.0000 0.0000 [3 per cell]
V: 0.0000 0.0000 0.5000 [3 per cell]
Cl: 0.0000 0.0000 0.1202 [6 per cell]

***

The following is a DFT calculation (PBE) of a geometry-optimized NaV3Cl12 structure.

## Properties
D(E_F), states/eV per atom: 1.3619
VASP energy, eV per cell: -140.5
Magnetization, μB/f.u.: 4.000
Calculated volume, Å³/atom: 37.179
Energy relative to the elements, uncorrected, eV/f.u.: -19.4

a = 13.7849 Å, b = 13.7849 Å, c = 7.2296 Å
α = 90.00°, β = 90.00°, γ = 120.00°
Space group P6_3/m (No. 176)
Symmetry-distinct sites (fractional):
Na: 0.3333 0.6667 0.2500 [2 per cell]
V: 0.1270 0.7140 0.7500 [6 per cell]
Cl: 0.0151 0.5352 0.7500 [6 per cell]
Cl: 0.0339 0.8010 0.7500 [6 per cell]
Cl: 0.2335 0.7620 0.5032 [12 per cell]

***

The following is a DFT calculation (PBE) of a geometry-optimized NaV2Cl6 structure.

## Properties
D(E_F), states/eV per atom: 0.5697
VASP energy, eV per cell: -165.2
Magnetization, μB/f.u.: 5.000
Calculated volume, Å³/atom: 29.981
Energy relative to the elements, uncorrected, eV/f.u.: -10.7

a = 13.2011 Å, b = 12.0222 Å, c = 6.9540 Å
α = 90.00°, β = 102.05°, γ = 90.00°
Space group C2/c (No. 15)
Symmetry-distinct sites (fractional):
Na: 0.0000 0.1083 0.2500 [4 per cell]
V: 0.2041 0.4163 0.2727 [8 per cell]
Cl: 0.1203 0.0737 0.6328 [8 per cell]
Cl: 0.1283 0.2645 0.1159 [8 per cell]
Cl: 0.1460 0.4354 0.5639 [8 per cell]

***

The following is a DFT calculation (PBE) of a geometry-optimized Na2VCl5 structure.

## Properties
D(E_F), states/eV per atom: 0.9104
VASP energy, eV per cell: -65.3
Magnetization, μB/f.u.: 2.000
Calculated volume, Å³/atom: 27.293
Energy relative to the elements, uncorrected, eV/f.u.: -11.7

a = 13.2786 Å, b = 4.9420 Å, c = 8.1004 Å
α = 90.00°, β = 124.77°, γ = 90.00°
Space group C2/m (No. 12)
Symmetry-distinct sites (fractional):
Na: 0.1869 0.0000 0.2463 [4 per cell]
V: 0.0000 0.0000 0.5000 [2 per cell]
Cl: 0.0000 0.5000 0.5000 [2 per cell]
Cl: 0.0450 0.0000 0.8264 [4 per cell]
Cl: 0.2150 0.0000 0.6382 [4 per cell]

***

The following is a DFT calculation (PBE) of a geometry-optimized NaVCl2 structure.

## Properties
D(E_F), states/eV per atom: 1.1881
VASP energy, eV per cell: -65.5
Magnetization, μB/f.u.: 4.000
Calculated volume, Å³/atom: 19.482
Energy relative to the elements, uncorrected, eV/f.u.: -2.2

a = 6.7804 Å, b = 6.7804 Å, c = 6.7804 Å
α = 90.00°, β = 90.00°, γ = 90.00°
Space group Fm-3m (No. 225)
Symmetry-distinct sites (fractional):
Na: 0.0000 0.0000 0.0000 [4 per cell]
V: 0.0000 0.0000 0.5000 [4 per cell]
Cl: 0.2500 0.2500 0.2500 [8 per cell]

***

The following is a DFT calculation (PBE) of a geometry-optimized Na2VCl6 structure.

## Properties
D(E_F), states/eV per atom: 0.6852
VASP energy, eV per cell: -71.0
Magnetization, μB/f.u.: 1.000
Calculated volume, Å³/atom: 24.671
Energy relative to the elements, uncorrected, eV/f.u.: -12.7

a = 6.6454 Å, b = 6.9859 Å, c = 11.3258 Å
α = 90.00°, β = 122.37°, γ = 90.00°
Space group P2_1/c (No. 14)
Symmetry-distinct sites (fractional):
Na: 0.1918 0.0986 0.2284 [4 per cell]
V: 0.5000 0.0000 0.0000 [2 per cell]
Cl: 0.1590 0.1783 0.9432 [4 per cell]
Cl: 0.2809 0.7199 0.9394 [4 per cell]
Cl: 0.4037 0.0335 0.7712 [4 per cell]

***

The following is a DFT calculation (PBE) of a geometry-optimized NaVCl5 structure.

## Properties
D(E_F), states/eV per atom: 0.5011
VASP energy, eV per cell: -113.4
Magnetization, μB/f.u.: 1.000
Calculated volume, Å³/atom: 26.357
Energy relative to the elements, uncorrected, eV/f.u.: -8.7

a = 11.2861 Å, b = 7.6325 Å, c = 9.2794 Å
α = 90.00°, β = 112.59°, γ = 90.00°
Space group C2/c (No. 15)
Symmetry-distinct sites (fractional):
Na: 0.0000 0.0327 0.2500 [4 per cell]
V: 0.0000 0.5000 0.0000 [4 per cell]
Cl: 0.0000 0.4038 0.2500 [4 per cell]
Cl: 0.0726 0.2174 0.9839 [8 per cell]
Cl: 0.2029 0.4089 0.6172 [8 per cell]

***

The following is a DFT calculation (PBE) of a geometry-optimized NaVCl5 structure.

## Properties
D(E_F), states/eV per atom: 0.9215
VASP energy, eV per cell: -56.9
Magnetization, μB/f.u.: 1.000
Calculated volume, Å³/atom: 31.591
Energy relative to the elements, uncorrected, eV/f.u.: -8.8

a = 8.0468 Å, b = 8.3379 Å, c = 6.5919 Å
α = 90.00°, β = 90.00°, γ = 90.00°
Space group Imm2 (No. 44)
Symmetry-distinct sites (fractional):
Na: 0.0000 0.0000 0.0000 [2 per cell]
V: 0.0000 0.5000 0.6659 [2 per cell]
Cl: 0.0000 0.2241 0.6948 [4 per cell]
Cl: 0.0000 0.5000 0.3389 [2 per cell]
Cl: 0.2457 0.0000 0.3039 [4 per cell]